Density functional theory data (GGA-PBEsol) for an optimized crystal structure of La2SiPb.

```
data_La2SiPb
_chemical_formula_sum 'La2 Si1 Pb1'
_symmetry_space_group_name_H-M 'P m m m'
_symmetry_Int_Tables_number 47
_cell_length_a 4.4110
_cell_length_b 4.5514
_cell_length_c 6.3216
_cell_angle_alpha 90.00
_cell_angle_beta 90.00
_cell_angle_gamma 90.00
loop_
_symmetry_equiv_pos_as_xyz
'x,y,z'
'-x,-y,-z'
'-x,-y,z'
'x,y,-z'
'x,-y,-z'
'-x,y,z'
'-x,y,-z'
'x,-y,z'
loop_
_atom_site_label
_atom_site_fract_x
_atom_site_fract_y
_atom_site_fract_z
_atom_site_occupancy
La1 0.0000 0.0000 0.0000 1
La2 0.5000 0.5000 0.5000 1
Si1 0.0000 0.0000 0.5000 1
Pb1 0.5000 0.5000 0.0000 1
```

Values from the calculation:
N(E_F) = 4.66 states/eV/cell
E_tot = -5.47 eV per atom
M_tot = 0.00 μB per cell